[1]
The following is a PBE-GGA calculation of an optimized crystal structure of Zr2GeHSe, from Alexandria.

```
Zr2GeHSe
1.0
5.2410 0.0000 0.0000
0.0000 5.2410 0.0000
0.0000 0.0000 3.4124
Zr Ge H Se
2 1 1 1
Cartesian
0.0000 2.6205 0.0000
2.6205 0.0000 0.0000
0.0000 0.0000 0.0000
0.0000 0.0000 1.7062
2.6205 2.6205 1.7062
```

DOS(E_F) = 1.2467 states/eV per atom


[2]
The following is a PBE-GGA calculation of an optimized crystal structure of SiGeH2, from Alexandria.

```
SiGeH2
1.0
4.1117 0.0000 0.0000
0.0000 4.1337 0.0000
0.0000 0.0000 10.9297
Si Ge H
4 4 8
Cartesian
1.0279 0.0000 0.8847
1.0279 2.0669 4.5801
3.0838 0.0000 10.0449
3.0838 2.0669 6.3496
0.2919 1.0334 8.1972
1.7639 3.1003 8.1972
2.3478 1.0334 2.7324
3.8198 3.1003 2.7324
0.3635 2.9692 5.9161
0.3635 3.2314 10.4784
1.6924 0.9024 10.4784
1.6924 1.1645 5.9161
2.4193 2.9692 5.0136
2.4193 3.2314 0.4512
3.7482 0.9024 0.4512
3.7482 1.1645 5.0136
```

DOS(E_F) = 0.0740 states/eV per atom
energy above the lowest structure with this stoichiometry = 0.000 eV per formula unit


[3]
The following is a PBE-GGA calculation of an optimized crystal structure of Si3GeH, from Alexandria.

```
Si3GeH
1.0
4.8116 0.0000 0.0000
0.0000 4.8116 0.0000
0.0000 0.0000 4.8116
Si Ge H
3 1 1
Cartesian
0.0000 0.0000 2.4058
0.0000 2.4058 0.0000
2.4058 0.0000 0.0000
0.0000 0.0000 0.0000
2.4058 2.4058 2.4058
```

DOS(E_F) = 0.8181 states/eV per atom
energy above the lowest structure with this stoichiometry = 4.518 eV per formula unit


[4]
The following is a PBE-GGA calculation of an optimized crystal structure of SiGe3H, from Alexandria.

```
SiGe3H
1.0
4.2808 0.0000 0.0000
0.0000 4.2808 0.0000
0.0000 0.0000 4.2808
Si Ge H
1 3 1
Cartesian
0.0000 0.0000 0.0000
0.0000 2.1404 2.1404
2.1404 0.0000 2.1404
2.1404 2.1404 0.0000
2.1404 2.1404 2.1404
```

DOS(E_F) = 0.3404 states/eV per atom
energy above the lowest structure with this stoichiometry = 0.000 eV per formula unit


[5]
The following is a PBE-GGA calculation of an optimized crystal structure of SiGe3H, from Alexandria.

```
SiGe3H
1.0
4.8073 0.0000 0.0000
0.0000 4.8073 0.0000
0.0000 0.0000 4.8073
Si Ge H
1 3 1
Cartesian
0.0000 0.0000 0.0000
0.0000 0.0000 2.4036
0.0000 2.4036 0.0000
2.4036 0.0000 0.0000
2.4036 2.4036 2.4036
```

DOS(E_F) = 0.9033 states/eV per atom
energy above the lowest structure with this stoichiometry = 2.689 eV per formula unit


[6]
The following is a PBE-GGA calculation of an optimized crystal structure of SiGeH2, from Alexandria.

```
SiGeH2
1.0
0.0000 2.7149 2.7149
2.7149 0.0000 2.7149
2.7149 2.7149 0.0000
Si Ge H
1 1 2
Cartesian
0.0000 0.0000 0.0000
2.7149 2.7149 2.7149
1.3574 1.3574 1.3574
4.0723 4.0723 4.0723
```

DOS(E_F) = 0.3928 states/eV per atom
energy above the lowest structure with this stoichiometry = 1.848 eV per formula unit


[7]
The following is a PBE-GGA calculation of an optimized crystal structure of SiGeH2, from Alexandria.

```
SiGeH2
1.0
-1.9009 1.9009 5.9982
1.9009 -1.9009 5.9982
1.9009 1.9009 -5.9982
Si Ge H
2 2 4
Cartesian
0.0000 0.0000 0.0000
0.0000 1.9009 2.9991
1.9009 0.0000 2.9991
0.0000 0.0000 5.9982
0.2804 0.9504 1.4995
-0.9504 1.6204 4.4986
-0.2804 2.8513 1.4995
0.9504 2.1813 4.4986
```

DOS(E_F) = 0.2671 states/eV per atom
energy above the lowest structure with this stoichiometry = 1.030 eV per formula unit


[8]
The following is a PBE-GGA calculation of an optimized crystal structure of SiGe2H, from Alexandria.

```
SiGe2H
1.0
0.0000 3.0689 3.0689
3.0689 0.0000 3.0689
3.0689 3.0689 0.0000
Si Ge H
1 2 1
Cartesian
0.0000 0.0000 0.0000
1.5344 1.5344 1.5344
4.6033 4.6033 4.6033
3.0689 3.0689 3.0689
```

DOS(E_F) = 0.3663 states/eV per atom
energy above the lowest structure with this stoichiometry = 0.326 eV per formula unit


What final energy values result from the calculations? In sequence: -28.504 -61.658 -16.485 -19.813 -17.124 -13.567 -28.769 -15.740 eV for the cell shown.